1.
Here is Ca2GeHAu after structural relaxation from the Alexandria database. Energies are from PBE.

Computed properties:
As for the density: 4.99 g/cm3. The value obtained for the total energy is -0.1208 Ha/atom. The energy above the lowest structure with this stoichiometry comes out at 0.297 eV/atom.

Unit cell a=5.691 b=3.603 c=5.691 alpha=90.00 beta=90.00 gamma=90.00
Fractional coordinates of all 5 atoms:
Ca 0.500 0.000 0.000
Ge 0.500 0.500 0.500
H 0.000 0.500 0.000
Ca 0.000 0.000 0.500
Au 0.000 0.000 0.000


2.
Here is ThH6Rh5 after structural relaxation from the Alexandria database. Energies are from PBE.

Computed properties:
As for the density: 10.36 g/cm3. The value obtained for the total energy is -0.2052 Ha/atom.

Unit cell a=5.109 b=5.157 c=7.326 alpha=92.38 beta=55.75 gamma=58.90
Fractional coordinates of all 12 atoms:
Rh 0.334 0.342 0.998
Rh 0.500 0.000 0.500
H 0.576 0.295 0.431
H 0.631 0.128 0.667
Rh 0.870 0.313 0.476
Rh 0.666 0.658 0.002
H 0.369 0.872 0.333
Rh 0.130 0.687 0.524
H 0.962 0.448 0.671
H 0.424 0.705 0.569
H 0.038 0.552 0.329
Th 0.000 0.000 0.000


3.
Here is HoHO2 after structural relaxation from the Alexandria database. Energies are from PBE.

Computed properties:
As for the density: 7.42 g/cm3. The value obtained for the total energy is -0.2624 Ha/atom.

Unit cell a=3.642 b=4.312 c=5.974 alpha=70.86 beta=90.00 gamma=90.00
Fractional coordinates of all 8 atoms:
H 0.250 0.981 0.924
O 0.250 0.765 0.450
O 0.750 0.251 0.061
Ho 0.250 0.333 0.312
Ho 0.750 0.667 0.688
H 0.750 0.019 0.076
O 0.250 0.749 0.939
O 0.750 0.235 0.550